No. 1
{"formula": "HoMg2Zn3", "functional": "GGA-PBE", "state": "optimized geometry", "cell": [[-1.629, -2.877, 3.426], [3.954, -1.147, -2.391], [6.488, 5.792, 7.948]], "species": ["Ho", "Ho", "Mg", "Mg", "Mg", "Mg", "Zn", "Zn", "Zn", "Zn", "Zn", "Zn"], "frac_coords": [[0.333, 0.667, 0.662], [0.667, 0.333, 0.338], [0.000, 0.000, 0.500], [0.333, 0.667, 0.164], [0.667, 0.333, 0.836], [0.000, 0.000, 0.000], [0.333, 0.667, 0.416], [0.667, 0.333, 0.085], [0.000, 0.000, 0.760], [0.000, 0.000, 0.240], [0.333, 0.667, 0.915], [0.667, 0.333, 0.584]], "energy_ev_per_atom": -2.162, "delta_e_f_ev_per_atom": -0.23, "n_ef_per_ev_cell": 5.6, "sg": "No. 164"}

=====

No. 2
{"formula": "YHoTm2", "functional": "GGA-PBE", "state": "optimized geometry", "cell": [[-0.447, -3.331, -1.040], [3.275, -0.038, -1.284], [3.409, -3.201, 8.788]], "species": ["Y", "Tm", "Tm", "Ho"], "frac_coords": [[0.500, 0.500, 0.500], [0.000, 0.000, 0.752], [0.000, 0.000, 0.248], [0.500, 0.500, 0.000]], "energy_ev_per_atom": -4.969, "delta_e_f_ev_per_atom": 0.03, "n_ef_per_ev_cell": 5.3, "sg": "No. 123"}

=====

No. 3
{"formula": "KRbInI3", "functional": "GGA-PBE", "state": "optimized geometry", "cell": [[-4.022, -2.789, -0.644], [3.945, -6.958, 5.489], [-6.504, 7.456, 8.327]], "species": ["K", "K", "Rb", "Rb", "In", "In", "I", "I", "I", "I", "I", "I"], "frac_coords": [[0.250, 0.665, 0.147], [0.750, 0.335, 0.853], [0.250, 0.266, 0.287], [0.750, 0.734, 0.713], [0.250, 0.106, 0.543], [0.750, 0.894, 0.457], [0.750, 0.944, 0.233], [0.250, 0.056, 0.767], [0.250, 0.666, 0.436], [0.750, 0.334, 0.564], [0.750, 0.400, 0.131], [0.250, 0.600, 0.869]], "energy_ev_per_atom": -2.681, "formation_energy_uncorrected_ev_per_atom": -1.11, "n_ef_per_ev_cell": 0.0, "sg": "No. 11"}

=====

No. 4
{"formula": "Cs5NaO", "functional": "GGA-PBE", "state": "optimized geometry", "cell": [[2.936, -8.445, -3.484], [1.763, 2.665, 9.048], [-12.979, -0.017, 3.174]], "species": ["Cs", "Cs", "Cs", "Cs", "Cs", "Cs", "Cs", "Cs", "Cs", "Cs", "Na", "Na", "O", "O"], "frac_coords": [[0.715, 0.910, 0.064], [0.218, 0.914, 0.565], [0.655, 0.349, 0.564], [0.250, 0.000, 0.250], [0.849, 0.652, 0.935], [0.151, 0.348, 0.065], [0.750, 0.000, 0.750], [0.345, 0.651, 0.436], [0.782, 0.086, 0.435], [0.285, 0.090, 0.936], [0.750, 0.500, 0.250], [0.250, 0.500, 0.750], [0.000, 0.000, 0.000], [0.500, 0.000, 0.500]], "energy_ev_per_atom": -1.924, "formation_energy_uncorrected_ev_per_atom": -0.42, "n_ef_per_ev_cell": 8.6, "sg": "No. 15"}

=====

No. 5
{"formula": "NaUBr5", "functional": "GGA-PBE", "state": "optimized geometry", "cell": [[7.248, -1.941, 2.079], [1.401, 7.372, 2.079], [1.537, 0.965, 11.249]], "species": ["Na", "Na", "U", "U", "Br", "Br", "Br", "Br", "Br", "Br", "Br", "Br", "Br", "Br"], "frac_coords": [[0.361, 0.639, 0.750], [0.639, 0.361, 0.250], [0.000, 0.000, 0.000], [0.000, 0.000, 0.500], [0.337, 0.232, 0.851], [0.305, 0.818, 0.499], [0.232, 0.337, 0.351], [0.961, 0.039, 0.750], [0.182, 0.695, 0.001], [0.818, 0.305, 0.999], [0.039, 0.961, 0.250], [0.768, 0.663, 0.649], [0.695, 0.182, 0.501], [0.663, 0.768, 0.149]], "energy_ev_per_atom": -4.344, "formation_energy_uncorrected_ev_per_atom": -1.35, "n_ef_per_ev_cell": 5.2, "sg": "No. 15"}

=====

No. 6
{"formula": "KTlIr2", "functional": "GGA-PBE", "state": "optimized geometry", "cell": [[-9.879, -3.006, 1.926], [-8.514, -5.628, 2.487], [-8.724, -3.548, 4.652]], "species": ["Ir", "Ir", "K", "Tl"], "frac_coords": [[0.994, 0.994, 0.994], [0.262, 0.262, 0.262], [0.506, 0.506, 0.506], [0.738, 0.738, 0.738]], "energy_ev_per_atom": -4.599, "delta_e_f_ev_per_atom": 0.70, "n_ef_per_ev_cell": 5.6, "sg": "No. 160"}